# TeIrPt2

A crystal of TeIrPt2 relaxed with PBEsol (meta-GGA SCAN, the Alexandria database).

a b c (Å): 3.4449 3.4449 5.6229
angles (deg): 90.00 90.00 90.00
Last column: nearest neighbours and their distance in Å.
Atoms (fractional coordinates):
Te 0.0000 0.0000 0.0000  6 Pt 2.73-2.93, 4 Ir 2.78
Ir 0.5000 0.5000 0.2390  6 Pt 2.66-2.96, 4 Te 2.78
Pt 0.0000 0.0000 0.4859  2 Te 2.73-2.89, 4 Pt 2.75, 4 Ir 2.80
Pt 0.5000 0.5000 0.7118  2 Ir 2.66-2.96, 4 Pt 2.75, 4 Te 2.93

Properties
ΔE_f (raw) in eV per atom: 0.278
Crystal system: tetragonal
Space group: No. 99

***

# Mg5Cu

A crystal of Mg5Cu relaxed with PBEsol (meta-GGA SCAN, the Alexandria database).

a b c (Å): 5.6428 5.6428 7.3751
angles (deg): 110.19 110.19 32.92
Last column: nearest neighbours and their distance in Å.
Atoms (fractional coordinates):
Mg 0.0000 0.0000 0.0000  2 Cu 2.80, 1 Mg 3.11
Mg 0.0269 0.0269 0.4386  2 Cu 2.66
Mg 0.3076 0.3076 0.1580  2 Cu 2.66
Mg 0.3351 0.3351 0.5969  2 Cu 2.79, 1 Mg 3.11
Mg 0.6677 0.6677 0.7981  10 Mg 3.00-3.20
Cu 0.6676 0.6676 0.2991  8 Mg 2.66-2.80

Properties
Formation energy from the elements in meV/atom: -17
Crystal system: monoclinic
Space group: No. 8
Energy above the lowest structure with this stoichiometry in meV per atom: 10

***

# RbV2CrO7

A crystal of RbV2CrO7 relaxed with PBEsol (meta-GGA SCAN, the Alexandria database).

a b c (Å): 8.3779 4.8241 6.8456
angles (deg): 90.00 101.11 90.00
Last column: nearest neighbours and their distance in Å.
Atoms (fractional coordinates):
Rb 0.0000 0.1111 0.2500  10 O 2.90-3.22
Rb 0.0000 0.8889 0.7500  10 O 2.90-3.22
V 0.3320 0.4967 0.1231  2 O 1.62-1.72
V 0.3320 0.5033 0.6231  2 O 1.62-1.72
V 0.6680 0.4967 0.3769  2 O 1.62-1.72
V 0.6680 0.5033 0.8769  2 O 1.62-1.72
Cr 0.5000 0.0000 0.0000  6 O 1.91-1.99
Cr 0.5000 0.0000 0.5000  6 O 1.91-1.99
O 0.1534 0.3755 0.6204  1 V 1.62
O 0.1534 0.6245 0.1204  1 V 1.62
O 0.2986 0.1733 0.0182  1 V 1.72, 1 Cr 1.91
O 0.2986 0.8267 0.5182  1 V 1.72, 1 Cr 1.91
O 0.3904 0.3395 0.3868  2 V 1.93-1.95, 1 Cr 1.96
O 0.3904 0.6605 0.8868  2 V 1.93-1.95, 1 Cr 1.96
O 0.5000 0.2094 0.7500  2 Cr 1.99, 2 V 2.07
O 0.5000 0.7906 0.2500  2 Cr 1.99, 2 V 2.07
O 0.6096 0.3395 0.1132  2 V 1.93-1.95, 1 Cr 1.96
O 0.6096 0.6605 0.6132  2 V 1.93-1.95, 1 Cr 1.96
O 0.7014 0.1733 0.4818  1 V 1.72, 1 Cr 1.91
O 0.7014 0.8267 0.9818  1 V 1.72, 1 Cr 1.91
O 0.8466 0.3755 0.8796  1 V 1.62
O 0.8466 0.6245 0.3796  1 V 1.62

Properties
ΔE_f (raw) in eV per atom: -2.562
Crystal system: monoclinic
Space group: No. 13

***

# BaCo2Pb

A crystal of BaCo2Pb relaxed with PBEsol (meta-GGA SCAN, the Alexandria database).

a b c (Å): 5.0982 5.0982 5.0982
angles (deg): 123.50 112.05 94.16
Last column: nearest neighbours and their distance in Å.
Atoms (fractional coordinates):
Ba 0.0000 0.0000 0.0000  8 Co 3.05-3.39
Co 0.3432 0.8432 0.5000  1 Co 2.18
Co 0.6568 0.1568 0.5000  1 Co 2.18
Pb 0.5000 0.5000 0.0000  4 Co 2.65

Properties
Formation energy from the elements in meV/atom: 490
Crystal system: orthorhombic
Space group: No. 71
Energy above the lowest structure with this stoichiometry in meV per atom: 0

***

# SrMg14MnO16

A crystal of SrMg14MnO16 relaxed with PBEsol (meta-GGA SCAN, the Alexandria database).

a b c (Å): 8.5966 8.5966 4.3632
angles (deg): 90.00 90.00 90.00
Last column: nearest neighbours and their distance in Å.
Atoms (fractional coordinates):
Sr 0.0000 0.0000 0.0000  6 O 2.18-2.33
Mg 0.0000 0.2592 0.5000  6 O 2.07-2.23
Mg 0.0000 0.5000 0.0000  6 O 1.97-2.18
Mg 0.0000 0.7408 0.5000  6 O 2.07-2.23
Mg 0.2498 0.5000 0.5000  6 O 2.14-2.18
Mg 0.2548 0.2548 0.0000  6 O 2.11-2.19
Mg 0.2548 0.7452 0.0000  6 O 2.11-2.19
Mg 0.2592 0.0000 0.5000  6 O 2.07-2.23
Mg 0.5000 0.0000 0.0000  6 O 1.97-2.18
Mg 0.5000 0.2498 0.5000  6 O 2.14-2.18
Mg 0.5000 0.7502 0.5000  6 O 2.14-2.18
Mg 0.7408 0.0000 0.5000  6 O 2.07-2.23
Mg 0.7452 0.2548 0.0000  6 O 2.11-2.19
Mg 0.7452 0.7452 0.0000  6 O 2.11-2.19
Mg 0.7502 0.5000 0.5000  6 O 2.14-2.18
Mn 0.5000 0.5000 0.0000  6 O 2.17-2.18
O 0.0000 0.0000 0.5000  2 Sr 2.18, 4 Mg 2.23
O 0.0000 0.2708 0.0000  5 Mg 1.97-2.19
O 0.0000 0.5000 0.5000  6 Mg 2.07-2.18
O 0.0000 0.7292 0.0000  5 Mg 1.97-2.19
O 0.2480 0.5000 0.0000  5 Mg 2.11-2.18, 1 Mn 2.17
O 0.2505 0.2505 0.5000  6 Mg 2.14-2.18
O 0.2505 0.7495 0.5000  6 Mg 2.14-2.18
O 0.2708 0.0000 0.0000  5 Mg 1.97-2.19
O 0.5000 0.0000 0.5000  6 Mg 2.07-2.18
O 0.5000 0.2480 0.0000  5 Mg 2.11-2.18, 1 Mn 2.17
O 0.5000 0.5000 0.5000  4 Mg 2.15, 2 Mn 2.18
O 0.5000 0.7520 0.0000  5 Mg 2.11-2.18, 1 Mn 2.17
O 0.7292 0.0000 0.0000  5 Mg 1.97-2.19
O 0.7495 0.2505 0.5000  6 Mg 2.14-2.18
O 0.7495 0.7495 0.5000  6 Mg 2.14-2.18
O 0.7520 0.5000 0.0000  5 Mg 2.11-2.18, 1 Mn 2.17

Properties
ΔE_f (raw) in eV per atom: -2.842
Crystal system: tetragonal
Space group: No. 123
Energy above the lowest structure with this stoichiometry in meV per atom: 0

***

# K2LiScCl6

A crystal of K2LiScCl6 relaxed with PBEsol (meta-GGA SCAN, the Alexandria database).

a b c (Å): 7.0139 7.0139 7.0139
angles (deg): 60.00 60.00 60.00
Last column: nearest neighbours and their distance in Å.
Atoms (fractional coordinates):
K 0.2500 0.2500 0.2500  12 Cl 3.51
K 0.7500 0.7500 0.7500  12 Cl 3.51
Li 0.0000 0.0000 0.0000  6 Cl 2.50
Sc 0.5000 0.5000 0.5000  6 Cl 2.46
Cl 0.2520 0.2520 0.7480  1 Sc 2.46, 1 Li 2.50
Cl 0.2520 0.7480 0.2520  1 Sc 2.46, 1 Li 2.50
Cl 0.2520 0.7480 0.7480  1 Sc 2.46, 1 Li 2.50
Cl 0.7480 0.2520 0.2520  1 Sc 2.46, 1 Li 2.50
Cl 0.7480 0.2520 0.7480  1 Sc 2.46, 1 Li 2.50
Cl 0.7480 0.7480 0.2520  1 Sc 2.46, 1 Li 2.50

Properties
ΔE_f (raw) in eV per atom: -2.259
Crystal system: cubic
Space group: No. 225

***

# BeP2Se

A crystal of BeP2Se relaxed with PBEsol (meta-GGA SCAN, the Alexandria database).

a b c (Å): 6.2030 6.2030 6.2030
angles (deg): 149.68 130.56 59.10
Last column: nearest neighbours and their distance in Å.
Atoms (fractional coordinates):
Be 0.0000 0.0000 0.0000  2 Se 2.16
P 0.1683 0.6683 0.5000  2 P 2.18, 2 Be 2.44
P 0.3037 0.3037 0.0000  2 P 2.18
Se 0.8684 0.3684 0.5000  2 Be 2.16

Properties
ΔE_f (raw) in eV per atom: 0.270
Crystal system: orthorhombic
Space group: No. 44
Energy above the lowest structure with this stoichiometry in meV per atom: 0

***

# YIn2Cu

A crystal of YIn2Cu relaxed with PBEsol (meta-GGA SCAN, the Alexandria database).

a b c (Å): 3.2715 3.2715 7.6531
angles (deg): 90.00 90.00 90.00
Last column: nearest neighbours and their distance in Å.
Atoms (fractional coordinates):
Y 0.0000 0.0000 0.0000  8 In 3.23, 4 Y 3.27
In 0.5000 0.5000 0.2939  4 Cu 2.80
In 0.5000 0.5000 0.7061  4 Cu 2.80
Cu 0.0000 0.0000 0.5000  8 In 2.80

Properties
Formation energy from the elements in meV/atom: -280
Crystal system: tetragonal
Space group: No. 123

***

# RbHf2F

A crystal of RbHf2F relaxed with PBEsol (meta-GGA SCAN, the Alexandria database).

a b c (Å): 4.9218 4.9218 4.9218
angles (deg): 60.00 60.00 60.00
Last column: nearest neighbours and their distance in Å.
Atoms (fractional coordinates):
Rb 0.0000 0.0000 0.0000  8 Hf 3.01
Hf 0.2500 0.2500 0.2500  4 F 3.01, 4 Rb 3.01
Hf 0.7500 0.7500 0.7500  4 F 3.01, 4 Rb 3.01
F 0.5000 0.5000 0.5000  8 Hf 3.01

Properties
ΔE_f (raw) in eV per atom: 1.164
Crystal system: cubic
Space group: No. 225

***

# YMn2Tc

A crystal of YMn2Tc relaxed with PBEsol (meta-GGA SCAN, the Alexandria database).

a b c (Å): 2.9611 2.9611 6.8790
angles (deg): 90.00 90.00 90.00
Last column: nearest neighbours and their distance in Å.
Atoms (fractional coordinates):
Y 0.0000 0.0000 0.0000  4 Y 2.96, 4 Tc 3.04, 5 Mn 3.06-3.23
Mn 0.0000 0.0000 0.4701  4 Mn 2.32, 4 Tc 2.54
Mn 0.5000 0.5000 0.3250  4 Mn 2.32, 1 Tc 2.44
Tc 0.5000 0.5000 0.6800  5 Mn 2.44-2.54

Properties
Formation energy from the elements in meV/atom: 220
Crystal system: tetragonal
Space group: No. 99
Energy above the lowest structure with this stoichiometry in meV per atom: 0

***

# TiMoC2

A crystal of TiMoC2 relaxed with PBEsol (meta-GGA SCAN, the Alexandria database).

a b c (Å): 3.7847 3.7847 3.7847
angles (deg): 60.00 60.00 60.00
Last column: nearest neighbours and their distance in Å.
Atoms (fractional coordinates):
Ti 0.0000 0.0000 0.0000  8 C 2.32
Mo 0.5000 0.5000 0.5000  8 C 2.32
C 0.2500 0.2500 0.2500  4 Mo 2.32, 4 Ti 2.32
C 0.7500 0.7500 0.7500  4 Mo 2.32, 4 Ti 2.32

Properties
Formation energy from the elements in meV/atom: 439
Crystal system: cubic
Space group: No. 225
Energy above the lowest structure with this stoichiometry in meV per atom: 908

***

# TlPtW2F

A crystal of TlPtW2F relaxed with PBEsol (meta-GGA SCAN, the Alexandria database).

a b c (Å): 4.0600 4.0600 4.8853
angles (deg): 90.00 90.00 90.00
Last column: nearest neighbours and their distance in Å.
Atoms (fractional coordinates):
Tl 0.0000 0.0000 0.0000  2 F 2.44
Pt 0.5000 0.5000 0.0000  4 Tl 2.87, 8 W 3.18
W 0.0000 0.5000 0.5000  2 F 2.03
W 0.5000 0.0000 0.5000  2 F 2.03
F 0.0000 0.0000 0.5000  4 W 2.03

Properties
ΔE_f (raw) in eV per atom: 0.972
Crystal system: tetragonal
Space group: No. 123

***

no.,calculated volume (A^3/atom),spin magnetization (μB/cell)
1,16.68,0.0
2,19.85,0.0
3,12.34,6.0
4,23.87,3.7
5,10.08,5.0
6,24.40,0.0
7,22.70,0.0
8,20.48,0.6
9,21.08,0.0
10,15.08,1.3
11,9.58,0.0
12,16.11,0.0